Run A
VASP calculation (PBE) on Hf3GeRu after structural relaxation.

V = 23.09 Å³/atom
Symmetry = Pm-3m, No. 221

Cell lengths 4.8694, 4.8694, 4.8694 Å; angles 90.00, 90.00, 90.00 degrees
Last column: nearest neighbours and their distance in Å.
Sites, in units of the cell vectors:
Hf: 0.0000 0.0000 0.5000  2 Ge 2.43
Hf: 0.0000 0.5000 0.0000  2 Ge 2.43
Hf: 0.5000 0.0000 0.0000  2 Ge 2.43
Ge: 0.0000 0.0000 0.0000  6 Hf 2.43
Ru: 0.5000 0.5000 0.5000  12 Hf 3.44



Run B
VASP calculation (PBE) on Hf3GeRu after structural relaxation.

V = 25.28 Å³/atom
Symmetry = Pm-3m, No. 221

Cell lengths 5.0185, 5.0185, 5.0185 Å; angles 90.00, 90.00, 90.00 degrees
Last column: nearest neighbours and their distance in Å.
Sites, in units of the cell vectors:
Hf: 0.0000 0.0000 0.5000  2 Ru 2.51
Hf: 0.0000 0.5000 0.0000  2 Ru 2.51
Hf: 0.5000 0.0000 0.0000  2 Ru 2.51
Ge: 0.5000 0.5000 0.5000  12 Hf 3.55
Ru: 0.0000 0.0000 0.0000  6 Hf 2.51



Least stable structure: run A



Run A
VASP calculation (PBE) on HfGeS after structural relaxation.

V = 19.67 Å³/atom
Symmetry = P2_1/c, No. 14

Cell lengths 7.9190, 4.6754, 6.7631 Å; angles 90.00, 109.49, 90.00 degrees
Last column: nearest neighbours and their distance in Å.
Sites, in units of the cell vectors:
Hf: 0.1779 0.1073 0.2458  4 S 2.53-2.58
Hf: 0.1779 0.3927 0.7458  4 S 2.53-2.58
Hf: 0.8221 0.6073 0.2542  4 S 2.53-2.58
Hf: 0.8221 0.8927 0.7542  4 S 2.53-2.58
Ge: 0.4465 0.0601 0.6578  3 Ge 2.61-2.65, 2 Hf 2.85-2.90
Ge: 0.4465 0.4399 0.1578  3 Ge 2.61-2.65, 2 Hf 2.85-2.90
Ge: 0.5535 0.5601 0.8422  3 Ge 2.61-2.65, 2 Hf 2.85-2.90
Ge: 0.5535 0.9399 0.3422  3 Ge 2.61-2.65, 2 Hf 2.85-2.90
S: 0.1621 0.6017 0.3913  4 Hf 2.53-2.58
S: 0.1621 0.8983 0.8913  4 Hf 2.53-2.58
S: 0.8379 0.1017 0.1087  4 Hf 2.53-2.58
S: 0.8379 0.3983 0.6087  4 Hf 2.53-2.58



Run B
VASP calculation (PBE) on HfGeS after structural relaxation.

V = 17.61 Å³/atom
Symmetry = I4/mmm, No. 139

Cell lengths 8.3963, 8.3963, 8.3963 Å; angles 154.99, 154.99, 35.66 degrees
Last column: nearest neighbours and their distance in Å.
Sites, in units of the cell vectors:
Hf: 0.1394 0.1394 0.0000  5 S 2.70-2.71, 4 Ge 2.88
Hf: 0.8606 0.8606 0.0000  5 S 2.70-2.71, 4 Ge 2.88
Ge: 0.0000 0.5000 0.5000  4 Ge 2.57, 4 Hf 2.88
Ge: 0.5000 0.0000 0.5000  4 Ge 2.57, 4 Hf 2.88
S: 0.3090 0.3090 0.0000  5 Hf 2.70-2.71
S: 0.6910 0.6910 0.0000  5 Hf 2.70-2.71



Least stable structure: run A



Run A
VASP calculation (PBE) on HfGeS3 after structural relaxation.

V = 25.23 Å³/atom
Symmetry = C2/m, No. 12

Cell lengths 9.9495, 9.9495, 6.5575 Å; angles 90.86, 90.86, 22.87 degrees
Last column: nearest neighbours and their distance in Å.
Sites, in units of the cell vectors:
Hf: 0.0921 0.0921 0.0559  5 S 2.44-2.53
Hf: 0.9079 0.9079 0.9441  5 S 2.44-2.53
Ge: 0.4039 0.4039 0.4488  3 S 2.56-2.60
Ge: 0.5961 0.5961 0.5512  3 S 2.56-2.60
S: 0.0133 0.0133 0.7481  2 Hf 2.44-2.52
S: 0.1589 0.1589 0.3894  1 Hf 2.53, 2 Ge 2.56
S: 0.3484 0.3484 0.0853  2 Hf 2.48, 1 Ge 2.60
S: 0.6516 0.6516 0.9147  2 Hf 2.48, 1 Ge 2.60
S: 0.8411 0.8411 0.6106  1 Hf 2.53, 2 Ge 2.56
S: 0.9867 0.9867 0.2519  2 Hf 2.44-2.52



Run B
VASP calculation (PBE) on HfGeS3 after structural relaxation.

V = 19.43 Å³/atom
Symmetry = Pm-3m, No. 221

Cell lengths 4.5974, 4.5974, 4.5974 Å; angles 90.00, 90.00, 90.00 degrees
Last column: nearest neighbours and their distance in Å.
Sites, in units of the cell vectors:
Hf: 0.0000 0.0000 0.0000  12 S 3.25
Ge: 0.5000 0.5000 0.5000  6 S 2.30
S: 0.0000 0.5000 0.5000  2 Ge 2.30
S: 0.5000 0.0000 0.5000  2 Ge 2.30
S: 0.5000 0.5000 0.0000  2 Ge 2.30



Run C
VASP calculation (PBE) on HfGeS3 after structural relaxation.

V = 23.88 Å³/atom
Symmetry = Pm-3m, No. 221

Cell lengths 4.9239, 4.9239, 4.9239 Å; angles 90.00, 90.00, 90.00 degrees
Last column: nearest neighbours and their distance in Å.
Sites, in units of the cell vectors:
Hf: 0.0000 0.0000 0.0000  6 S 2.46
Ge: 0.5000 0.5000 0.5000  12 S 3.48
S: 0.0000 0.0000 0.5000  2 Hf 2.46
S: 0.0000 0.5000 0.0000  2 Hf 2.46
S: 0.5000 0.0000 0.0000  2 Hf 2.46



Run D
VASP calculation (PBE) on HfGeS3 after structural relaxation.

V = 25.17 Å³/atom
Symmetry = Pnma, No. 62

Cell lengths 9.6218, 3.6328, 14.4023 Å; angles 90.00, 90.00, 90.00 degrees
Last column: nearest neighbours and their distance in Å.
Sites, in units of the cell vectors:
Hf: 0.1502 0.2500 0.0496  6 S 2.52-2.58
Hf: 0.3498 0.7500 0.5496  6 S 2.52-2.58
Hf: 0.6502 0.2500 0.4504  6 S 2.52-2.58
Hf: 0.8498 0.7500 0.9504  6 S 2.52-2.58
Ge: 0.0789 0.2500 0.6490  3 S 2.45
Ge: 0.4211 0.7500 0.1490  3 S 2.45
Ge: 0.5789 0.2500 0.8510  3 S 2.45
Ge: 0.9211 0.7500 0.3510  3 S 2.45
S: 0.0160 0.2500 0.8948  3 Hf 2.55-2.58
S: 0.1828 0.2500 0.4935  1 Ge 2.45, 2 Hf 2.56
S: 0.2283 0.7500 0.7049  2 Ge 2.45, 1 Hf 2.52
S: 0.2717 0.2500 0.2049  2 Ge 2.45, 1 Hf 2.52
S: 0.3172 0.7500 0.9935  1 Ge 2.45, 2 Hf 2.56
S: 0.4840 0.7500 0.3948  3 Hf 2.55-2.58
S: 0.5160 0.2500 0.6052  3 Hf 2.55-2.58
S: 0.6828 0.2500 0.0065  1 Ge 2.45, 2 Hf 2.56
S: 0.7283 0.7500 0.7951  2 Ge 2.45, 1 Hf 2.52
S: 0.7717 0.2500 0.2951  2 Ge 2.45, 1 Hf 2.52
S: 0.8172 0.7500 0.5065  1 Ge 2.45, 2 Hf 2.56
S: 0.9840 0.7500 0.1052  3 Hf 2.55-2.58



Least stable structure: run B



Run A
VASP calculation (PBE) on HfGe3Sb after structural relaxation.

V = 27.02 Å³/atom
Symmetry = Pm-3m, No. 221

Cell lengths 5.1310, 5.1310, 5.1310 Å; angles 90.00, 90.00, 90.00 degrees
Last column: nearest neighbours and their distance in Å.
Sites, in units of the cell vectors:
Hf: 0.0000 0.0000 0.0000  12 Ge 3.63
Ge: 0.0000 0.5000 0.5000  2 Sb 2.57
Ge: 0.5000 0.0000 0.5000  2 Sb 2.57
Ge: 0.5000 0.5000 0.0000  2 Sb 2.57
Sb: 0.5000 0.5000 0.5000  6 Ge 2.57



Run B
VASP calculation (PBE) on HfGe3Sb after structural relaxation.

V = 27.88 Å³/atom
Symmetry = Pm-3m, No. 221

Cell lengths 5.1852, 5.1852, 5.1852 Å; angles 90.00, 90.00, 90.00 degrees
Last column: nearest neighbours and their distance in Å.
Sites, in units of the cell vectors:
Hf: 0.0000 0.0000 0.0000  6 Ge 2.59
Ge: 0.0000 0.0000 0.5000  2 Hf 2.59
Ge: 0.0000 0.5000 0.0000  2 Hf 2.59
Ge: 0.5000 0.0000 0.0000  2 Hf 2.59
Sb: 0.5000 0.5000 0.5000  12 Ge 3.67



Least stable structure: run A